Entry 1:
# MoRu2W

A crystal of MoRu2W relaxed with PBEsol (meta-GGA SCAN, Alexandria).

```
MoRu2W
1.0
2.7536 0.0000 0.0000
0.0000 3.8019 0.0000
0.0000 0.0000 5.5092
Ru Mo W
2 1 1
Direct
0.0000 0.0000 0.7492
0.0000 0.0000 0.2508
0.5000 0.5000 0.5000
0.5000 0.5000 0.0000
```

Calculated values
Magnetization in μB per formula unit: 0.000
Symmetry: No. 47
E in eV/atom: -43.485
Energy relative to the lowest polymorph listed for this composition in eV/f.u.: 0.00
DFT formation energy in meV/atom: 72
ρ in Mg/m³: 13.88



Entry 2:
# MoRu2W

A crystal of MoRu2W relaxed with PBEsol (meta-GGA SCAN, Alexandria).

```
MoRu2W
1.0
-1.9957 1.5904 -1.0358
0.6091 -1.9785 -4.2115
-3.2094 -2.5122 2.3263
Ru Mo W
2 1 1
Direct
0.0000 0.5000 0.0000
0.0000 0.0000 0.5000
0.5000 0.5000 0.5000
0.5000 0.0000 0.0000
```

Calculated values
Magnetization in μB per formula unit: 0.000
Symmetry: No. 65
E in eV/atom: -43.485
Energy relative to the lowest polymorph listed for this composition in eV/f.u.: 0.00
DFT formation energy in meV/atom: 71
ρ in Mg/m³: 13.87



Entry 3:
# MoRu2W

A crystal of MoRu2W relaxed with PBEsol (meta-GGA SCAN, Alexandria).

```
MoRu2W
1.0
3.8086 0.0000 0.0000
0.0000 3.8904 0.0000
0.0000 0.0000 3.8904
Mo Ru W
1 2 1
Direct
0.5000 0.0000 0.0000
0.0000 0.0000 0.5000
0.0000 0.5000 0.0000
0.5000 0.5000 0.5000
```

Calculated values
Magnetization in μB per formula unit: 0.000
Symmetry: No. 123
E in eV/atom: -43.484
Energy relative to the lowest polymorph listed for this composition in eV/f.u.: 0.01
DFT formation energy in meV/atom: 72
ρ in Mg/m³: 13.88



Entry 4:
# ZrMo2RuW

A crystal of ZrMo2RuW relaxed with PBEsol (meta-GGA SCAN, Alexandria).

```
ZrMo2RuW
1.0
-3.4629 2.6237 1.5511
0.9893 -1.2823 4.3777
2.9209 3.6188 0.3999
Ru Mo Zr W
1 2 1 1
Direct
0.5000 0.0000 0.0000
0.0000 0.0000 0.5000
0.0000 0.5000 0.0000
0.5000 0.5000 0.5000
0.0000 0.0000 0.0000
```

Calculated values
Magnetization in μB per formula unit: 0.004
Symmetry: No. 123
E in eV/atom: -39.769
DFT formation energy in meV/atom: 1228
ρ in Mg/m³: 9.38



Entry 5:
# YMoRu2

A crystal of YMoRu2 relaxed with PBEsol (meta-GGA SCAN, Alexandria).

```
YMoRu2
1.0
-2.0830 -1.1752 -1.9422
0.0528 -2.6603 1.5531
-5.1954 2.3277 4.1635
Mo Ru Y
1 2 1
Direct
0.5000 0.5000 0.5000
0.0000 0.0000 0.7083
0.0000 0.0000 0.2917
0.5000 0.5000 0.0000
```

Calculated values
Magnetization in μB per formula unit: 0.007
Symmetry: No. 123
E in eV/atom: -33.187
Energy relative to the lowest polymorph listed for this composition in eV/f.u.: 0.00
DFT formation energy in meV/atom: -92
ρ in Mg/m³: 9.60



Entry 6:
# Y2MoRu

A crystal of Y2MoRu relaxed with PBEsol (meta-GGA SCAN, Alexandria).

```
Y2MoRu
1.0
-0.0092 0.0963 -3.4039
0.7110 -4.3897 -0.1261
-5.0312 -0.8146 -0.0095
Mo Ru Y
1 1 2
Direct
0.5000 0.5000 0.0000
0.0000 0.5000 0.5000
0.0000 0.0000 0.0000
0.5000 0.0000 0.5000
```

Calculated values
Magnetization in μB per formula unit: 0.000
Symmetry: No. 47
E in eV/atom: -30.987
Energy relative to the lowest polymorph listed for this composition in eV/f.u.: 0.10
DFT formation energy in meV/atom: 362
ρ in Mg/m³: 8.06



Entry 7:
# Y2MoRu

A crystal of Y2MoRu relaxed with PBEsol (meta-GGA SCAN, Alexandria).

```
Y2MoRu
1.0
4.7491 0.0000 0.0000
2.3745 4.1128 0.0000
2.3745 1.3709 3.8776
Mo Ru Y
1 1 2
Direct
0.5000 0.5000 0.5000
0.2500 0.2500 0.2500
0.0000 0.0000 0.0000
0.7500 0.7500 0.7500
```

Calculated values
Magnetization in μB per formula unit: 0.000
Symmetry: No. 216
E in eV/atom: -31.012
Energy relative to the lowest polymorph listed for this composition in eV/f.u.: 0.00
DFT formation energy in meV/atom: 337
ρ in Mg/m³: 8.22



Entry 8:
# YMo2Ru

A crystal of YMo2Ru relaxed with PBEsol (meta-GGA SCAN, Alexandria).

```
YMo2Ru
1.0
-0.5488 -2.8019 -0.1040
3.3628 0.3303 3.9117
-4.9039 1.8110 1.0538
Mo Ru Y
2 1 1
Direct
0.0000 0.0000 0.5000
0.5000 0.5000 0.5000
0.5000 0.0000 0.0000
0.0000 0.5000 0.0000
```

Calculated values
Magnetization in μB per formula unit: 0.000
Symmetry: No. 12
E in eV/atom: -32.780
Energy relative to the lowest polymorph listed for this composition in eV/f.u.: 0.28
DFT formation energy in meV/atom: 330
ρ in Mg/m³: 9.52